[1]
This record from Alexandria via LeMat-Bulk describes a relaxed Mn2CdC2 crystal. The functional is PBE-GGA.

Cell and atoms, written as POSCAR:
```
Mn2CdC2
1.0
-0.696 -1.791 2.713
3.074 0.542 1.146
-0.601 4.020 4.537
Mn Cd C
2 1 2
direct
0.660 0.660 0.680
0.340 0.340 0.320
0.000 0.000 0.000
0.250 0.750 0.500
0.750 0.250 0.500
```

## Properties
- N(E_F) (states/eV/cell) = 2.071
- electronic total energy (eV per atom) = -6.7610
- space-group type = I4/mmm, No. 139


[2]
This record from Alexandria via LeMat-Bulk describes a relaxed MnCd2C crystal. The functional is PBE-GGA.

Cell and atoms, written as POSCAR:
```
MnCd2C
1.0
8.734 0.000 0.000
0.000 8.734 0.000
4.367 4.367 1.917
Mn C Cd
2 2 4
direct
0.000 0.000 0.000
0.750 0.250 0.500
0.250 0.750 0.500
0.500 0.500 0.000
0.375 0.506 0.750
0.256 0.625 0.250
0.494 0.125 0.250
0.875 0.744 0.750
```

## Properties
- N(E_F) (states/eV/cell) = 3.250
- electronic total energy (eV per atom) = -4.3341
- space-group type = I-42d, No. 122


[3]
This record from Alexandria via LeMat-Bulk describes a relaxed Mn2CdC2 crystal. The functional is PBE-GGA.

Cell and atoms, written as POSCAR:
```
Mn2CdC2
1.0
5.966 0.000 0.000
0.000 5.966 0.000
0.000 0.000 3.309
Mn C Cd
4 4 2
direct
0.163 0.663 0.500
0.837 0.337 0.500
0.337 0.163 0.500
0.663 0.837 0.500
0.916 0.584 0.000
0.584 0.084 0.000
0.084 0.416 0.000
0.416 0.916 0.000
0.000 0.000 0.000
0.500 0.500 0.000
```

## Properties
- N(E_F) (states/eV/cell) = 3.902
- electronic total energy (eV per atom) = -6.7138
- space-group type = P4/mbm, No. 127


[4]
This record from Alexandria via LeMat-Bulk describes a relaxed MnCdNi2C crystal. The functional is PBE-GGA.

Cell and atoms, written as POSCAR:
```
MnCdNi2C
1.0
3.922 0.000 0.000
0.000 3.922 0.000
0.000 0.000 3.848
Ni Mn Cd C
2 1 1 1
direct
0.000 0.500 0.000
0.500 0.000 0.000
0.000 0.000 0.500
0.500 0.500 0.500
0.000 0.000 0.000
```

## Properties
- N(E_F) (states/eV/cell) = 4.384
- electronic total energy (eV per atom) = -6.1093
- space-group type = P4/mmm, No. 123


[5]
This record from Alexandria via LeMat-Bulk describes a relaxed Mn2CdNiC crystal. The functional is PBE-GGA.

Cell and atoms, written as POSCAR:
```
Mn2CdNiC
1.0
3.919 0.000 0.000
0.000 3.919 0.000
0.000 0.000 3.965
Mn Cd C Ni
2 1 1 1
direct
0.500 0.000 0.000
0.000 0.500 0.000
0.500 0.500 0.500
0.000 0.000 0.000
0.000 0.000 0.500
```

## Properties
- N(E_F) (states/eV/cell) = 4.855
- electronic total energy (eV per atom) = -6.7706
- space-group type = P4/mmm, No. 123


[6]
This record from Alexandria via LeMat-Bulk describes a relaxed Mn2CdReC crystal. The functional is PBE-GGA.

Cell and atoms, written as POSCAR:
```
Mn2CdReC
1.0
-4.198 1.062 2.311
-0.334 -3.774 1.127
2.509 1.001 4.097
C Re Mn Cd
1 1 2 1
direct
0.000 0.500 0.000
0.000 0.000 0.000
0.500 0.000 0.000
0.000 0.000 0.500
0.500 0.500 0.500
```

## Properties
- N(E_F) (states/eV/cell) = 2.514
- electronic total energy (eV per atom) = -6.9958
- space-group type = P4/mmm, No. 123


[7]
This record from Alexandria via LeMat-Bulk describes a relaxed MnCdRh2C crystal. The functional is PBE-GGA.

Cell and atoms, written as POSCAR:
```
MnCdRh2C
1.0
4.145 0.000 0.000
0.000 4.145 0.000
0.000 0.000 3.983
Rh Mn C Cd
2 1 1 1
direct
0.000 0.500 0.000
0.500 0.000 0.000
0.000 0.000 0.500
0.000 0.000 0.000
0.500 0.500 0.500
```

## Properties
- N(E_F) (states/eV/cell) = 2.920
- electronic total energy (eV per atom) = -6.8306
- space-group type = P4/mmm, No. 123


[8]
This record from Alexandria via LeMat-Bulk describes a relaxed Mn2CdRhC crystal. The functional is PBE-GGA.

Cell and atoms, written as POSCAR:
```
Mn2CdRhC
1.0
-0.120 3.957 -0.441
-3.882 -0.214 -0.868
-0.923 0.421 4.025
C Mn Rh Cd
1 2 1 1
direct
0.000 0.000 0.000
0.000 0.500 0.000
0.500 0.000 0.000
0.000 0.000 0.500
0.500 0.500 0.500
```

## Properties
- N(E_F) (states/eV/cell) = 3.786
- electronic total energy (eV per atom) = -7.1313
- space-group type = P4/mmm, No. 123